# RbNaEr2Cl8 | Alexandria | PBE | relaxed
data_RbNaEr2Cl8
_chemical_formula_sum 'Rb1 Na1 Er2 Cl8'
_symmetry_space_group_name_H-M 'P 1'
_symmetry_Int_Tables_number 1
_cell_length_a 6.777
_cell_length_b 8.240
_cell_length_c 7.000
_cell_angle_alpha 90.00
_cell_angle_beta 94.43
_cell_angle_gamma 90.00
loop_
_symmetry_equiv_pos_as_xyz
'x,y,z'
loop_
_atom_site_label
_atom_site_type_symbol
_atom_site_fract_x
_atom_site_fract_y
_atom_site_fract_z
Rb1 Rb 0.000 0.000 0.000
Na1 Na 0.000 0.500 0.000
Er1 Er 0.500 0.256 0.500
Er2 Er 0.500 0.744 0.500
Cl1 Cl 0.249 0.276 0.206
Cl2 Cl 0.249 0.724 0.206
Cl3 Cl 0.303 0.500 0.655
Cl4 Cl 0.310 0.000 0.643
Cl5 Cl 0.690 0.000 0.357
Cl6 Cl 0.697 0.500 0.345
Cl7 Cl 0.751 0.276 0.794
Cl8 Cl 0.751 0.724 0.794
# Theoretical density (g/cm3): 3.10
# Energy (eV/atom): -4.311
# Total magnetic moment (μB/atom): 0.000

=====

# NaErSn2Cl8 | Alexandria | PBE | relaxed
data_NaErSn2Cl8
_chemical_formula_sum 'Na1 Er1 Sn2 Cl8'
_symmetry_space_group_name_H-M 'P 1'
_symmetry_Int_Tables_number 1
_cell_length_a 6.480
_cell_length_b 6.733
_cell_length_c 8.373
_cell_angle_alpha 89.96
_cell_angle_beta 89.99
_cell_angle_gamma 88.73
loop_
_symmetry_equiv_pos_as_xyz
'x,y,z'
loop_
_atom_site_label
_atom_site_type_symbol
_atom_site_fract_x
_atom_site_fract_y
_atom_site_fract_z
Na1 Na 0.000 0.000 0.000
Er1 Er 0.000 0.000 0.500
Sn1 Sn 0.500 0.500 0.246
Sn2 Sn 0.500 0.500 0.754
Cl1 Cl 0.221 0.840 0.266
Cl2 Cl 0.222 0.841 0.734
Cl3 Cl 0.239 0.310 0.499
Cl4 Cl 0.282 0.338 0.001
Cl5 Cl 0.718 0.662 0.999
Cl6 Cl 0.761 0.690 0.501
Cl7 Cl 0.778 0.159 0.266
Cl8 Cl 0.779 0.160 0.734
# Theoretical density (g/cm3): 3.23
# Energy (eV/atom): -3.944
# Total magnetic moment (μB/atom): 0.000

=====

# NaSrErCl6 | Alexandria | PBE | relaxed
data_NaSrErCl6
_chemical_formula_sum 'Na2 Sr2 Er2 Cl12'
_symmetry_space_group_name_H-M 'P 1'
_symmetry_Int_Tables_number 1
_cell_length_a 7.177
_cell_length_b 7.177
_cell_length_c 12.255
_cell_angle_alpha 90.00
_cell_angle_beta 90.00
_cell_angle_gamma 120.00
loop_
_symmetry_equiv_pos_as_xyz
'x,y,z'
loop_
_atom_site_label
_atom_site_type_symbol
_atom_site_fract_x
_atom_site_fract_y
_atom_site_fract_z
Na1 Na 0.000 0.000 0.000
Na2 Na 0.000 0.000 0.500
Sr1 Sr 0.333 0.667 0.250
Sr2 Sr 0.667 0.333 0.750
Er1 Er 0.333 0.667 0.750
Er2 Er 0.667 0.333 0.250
Cl1 Cl 0.030 0.363 0.629
Cl2 Cl 0.030 0.667 0.871
Cl3 Cl 0.333 0.363 0.871
Cl4 Cl 0.333 0.970 0.629
Cl5 Cl 0.363 0.030 0.129
Cl6 Cl 0.363 0.333 0.371
Cl7 Cl 0.637 0.667 0.629
Cl8 Cl 0.637 0.970 0.871
Cl9 Cl 0.667 0.030 0.371
Cl10 Cl 0.667 0.637 0.129
Cl11 Cl 0.970 0.333 0.129
Cl12 Cl 0.970 0.637 0.371
# Theoretical density (g/cm3): 2.98
# Energy (eV/atom): -4.310
# Total magnetic moment (μB/atom): 0.000

=====

# NaSr2ErCl8 | Alexandria | PBE | relaxed
data_NaSr2ErCl8
_chemical_formula_sum 'Na1 Sr2 Er1 Cl8'
_symmetry_space_group_name_H-M 'P 1'
_symmetry_Int_Tables_number 1
_cell_length_a 6.521
_cell_length_b 8.771
_cell_length_c 6.609
_cell_angle_alpha 90.00
_cell_angle_beta 90.79
_cell_angle_gamma 90.00
loop_
_symmetry_equiv_pos_as_xyz
'x,y,z'
loop_
_atom_site_label
_atom_site_type_symbol
_atom_site_fract_x
_atom_site_fract_y
_atom_site_fract_z
Na1 Na 0.000 0.000 0.000
Sr1 Sr 0.500 0.245 0.500
Sr2 Sr 0.500 0.755 0.500
Er1 Er 0.000 0.500 0.000
Cl1 Cl 0.203 0.278 0.827
Cl2 Cl 0.203 0.722 0.827
Cl3 Cl 0.271 0.500 0.306
Cl4 Cl 0.284 0.000 0.312
Cl5 Cl 0.716 0.000 0.688
Cl6 Cl 0.729 0.500 0.694
Cl7 Cl 0.797 0.278 0.173
Cl8 Cl 0.797 0.722 0.173
# Theoretical density (g/cm3): 2.85
# Energy (eV/atom): -4.289
# Total magnetic moment (μB/atom): 0.000

=====

# Na2ErTlCl6 | Alexandria | PBE | relaxed
data_Na2ErTlCl6
_chemical_formula_sum 'Na2 Er1 Tl1 Cl6'
_symmetry_space_group_name_H-M 'P 1'
_symmetry_Int_Tables_number 1
_cell_length_a 7.777
_cell_length_b 7.777
_cell_length_c 7.777
_cell_angle_alpha 55.20
_cell_angle_beta 55.20
_cell_angle_gamma 55.20
loop_
_symmetry_equiv_pos_as_xyz
'x,y,z'
loop_
_atom_site_label
_atom_site_type_symbol
_atom_site_fract_x
_atom_site_fract_y
_atom_site_fract_z
Na1 Na 0.000 0.000 0.000
Na2 Na 0.484 0.484 0.484
Er1 Er 0.680 0.680 0.680
Tl1 Tl 0.200 0.200 0.200
Cl1 Cl 0.059 0.433 0.755
Cl2 Cl 0.291 0.849 0.643
Cl3 Cl 0.433 0.755 0.059
Cl4 Cl 0.643 0.291 0.849
Cl5 Cl 0.755 0.059 0.433
Cl6 Cl 0.849 0.643 0.291
# Theoretical density (g/cm3): 3.54
# Energy (eV/atom): -3.916
# Total magnetic moment (μB/atom): 0.000

=====

# NaErZnCl6 | Alexandria | PBE | relaxed
data_NaErZnCl6
_chemical_formula_sum 'Na2 Er2 Zn2 Cl12'
_symmetry_space_group_name_H-M 'P 1'
_symmetry_Int_Tables_number 1
_cell_length_a 6.589
_cell_length_b 6.589
_cell_length_c 12.599
_cell_angle_alpha 90.00
_cell_angle_beta 90.00
_cell_angle_gamma 120.00
loop_
_symmetry_equiv_pos_as_xyz
'x,y,z'
loop_
_atom_site_label
_atom_site_type_symbol
_atom_site_fract_x
_atom_site_fract_y
_atom_site_fract_z
Na1 Na 0.000 0.000 0.000
Na2 Na 0.000 0.000 0.500
Er1 Er 0.333 0.667 0.250
Er2 Er 0.667 0.333 0.750
Zn1 Zn 0.333 0.667 0.750
Zn2 Zn 0.667 0.333 0.250
Cl1 Cl 0.015 0.366 0.635
Cl2 Cl 0.015 0.649 0.865
Cl3 Cl 0.351 0.366 0.865
Cl4 Cl 0.351 0.985 0.635
Cl5 Cl 0.366 0.015 0.135
Cl6 Cl 0.366 0.351 0.365
Cl7 Cl 0.634 0.649 0.635
Cl8 Cl 0.634 0.985 0.865
Cl9 Cl 0.649 0.015 0.365
Cl10 Cl 0.649 0.634 0.135
Cl11 Cl 0.985 0.351 0.135
Cl12 Cl 0.985 0.634 0.365
# Theoretical density (g/cm3): 3.28
# Energy (eV/atom): -3.796
# Total magnetic moment (μB/atom): 0.000

=====

# Nd3ErCl | Alexandria | PBE | relaxed
data_Nd3ErCl
_chemical_formula_sum 'Nd3 Er1 Cl1'
_symmetry_space_group_name_H-M 'P 1'
_symmetry_Int_Tables_number 1
_cell_length_a 5.457
_cell_length_b 5.457
_cell_length_c 5.457
_cell_angle_alpha 90.00
_cell_angle_beta 90.00
_cell_angle_gamma 90.00
loop_
_symmetry_equiv_pos_as_xyz
'x,y,z'
loop_
_atom_site_label
_atom_site_type_symbol
_atom_site_fract_x
_atom_site_fract_y
_atom_site_fract_z
Nd1 Nd 0.000 0.000 0.500
Nd2 Nd 0.000 0.500 0.000
Nd3 Nd 0.500 0.000 0.000
Er1 Er 0.500 0.500 0.500
Cl1 Cl 0.000 0.000 0.000
# Theoretical density (g/cm3): 6.49
# Energy (eV/atom): -4.628
# Total magnetic moment (μB/atom): 0.000

=====

# NdErCl3 | Alexandria | PBE | relaxed
data_NdErCl3
_chemical_formula_sum 'Nd2 Er2 Cl6'
_symmetry_space_group_name_H-M 'P 1'
_symmetry_Int_Tables_number 1
_cell_length_a 8.389
_cell_length_b 8.389
_cell_length_c 10.815
_cell_angle_alpha 119.82
_cell_angle_beta 119.82
_cell_angle_gamma 26.58
loop_
_symmetry_equiv_pos_as_xyz
'x,y,z'
loop_
_atom_site_label
_atom_site_type_symbol
_atom_site_fract_x
_atom_site_fract_y
_atom_site_fract_z
Nd1 Nd 0.140 0.140 0.291
Nd2 Nd 0.860 0.860 0.709
Er1 Er 0.418 0.418 0.045
Er2 Er 0.582 0.582 0.955
Cl1 Cl 0.047 0.047 0.756
Cl2 Cl 0.218 0.218 0.112
Cl3 Cl 0.342 0.342 0.492
Cl4 Cl 0.658 0.658 0.508
Cl5 Cl 0.782 0.782 0.888
Cl6 Cl 0.953 0.953 0.244
# Theoretical density (g/cm3): 4.74
# Energy (eV/atom): -4.802
# Total magnetic moment (μB/atom): 0.000

=====

# NdEr2Cl | Alexandria | PBE | relaxed
data_NdEr2Cl
_chemical_formula_sum 'Nd1 Er2 Cl1'
_symmetry_space_group_name_H-M 'P 1'
_symmetry_Int_Tables_number 1
_cell_length_a 11.325
_cell_length_b 11.325
_cell_length_c 11.325
_cell_angle_alpha 17.43
_cell_angle_beta 17.43
_cell_angle_gamma 17.43
loop_
_symmetry_equiv_pos_as_xyz
'x,y,z'
loop_
_atom_site_label
_atom_site_type_symbol
_atom_site_fract_x
_atom_site_fract_y
_atom_site_fract_z
Nd1 Nd 0.000 0.000 0.000
Er1 Er 0.101 0.101 0.101
Er2 Er 0.899 0.899 0.899
Cl1 Cl 0.500 0.500 0.500
# Theoretical density (g/cm3): 7.50
# Energy (eV/atom): -4.298
# Total magnetic moment (μB/atom): 0.000

=====

# Nd2ErCl | Alexandria | PBE | relaxed
data_Nd2ErCl
_chemical_formula_sum 'Nd2 Er1 Cl1'
_symmetry_space_group_name_H-M 'P 1'
_symmetry_Int_Tables_number 1
_cell_length_a 10.541
_cell_length_b 10.541
_cell_length_c 10.541
_cell_angle_alpha 20.00
_cell_angle_beta 20.00
_cell_angle_gamma 20.00
loop_
_symmetry_equiv_pos_as_xyz
'x,y,z'
loop_
_atom_site_label
_atom_site_type_symbol
_atom_site_fract_x
_atom_site_fract_y
_atom_site_fract_z
Nd1 Nd 0.240 0.240 0.240
Nd2 Nd 0.760 0.760 0.760
Er1 Er 0.000 0.000 0.000
Cl1 Cl 0.500 0.500 0.500
# Theoretical density (g/cm3): 6.81
# Energy (eV/atom): -4.649
# Total magnetic moment (μB/atom): 0.000

=====

> total magnetic moment of number 1 (RbNaEr2Cl8)?

0.000 μB/atom

=====

Please write out number 5 again, unchanged.
# Na2ErTlCl6 | Alexandria | PBE | relaxed
data_Na2ErTlCl6
_chemical_formula_sum 'Na2 Er1 Tl1 Cl6'
_symmetry_space_group_name_H-M 'P 1'
_symmetry_Int_Tables_number 1
_cell_length_a 7.777
_cell_length_b 7.777
_cell_length_c 7.777
_cell_angle_alpha 55.20
_cell_angle_beta 55.20
_cell_angle_gamma 55.20
loop_
_symmetry_equiv_pos_as_xyz
'x,y,z'
loop_
_atom_site_label
_atom_site_type_symbol
_atom_site_fract_x
_atom_site_fract_y
_atom_site_fract_z
Na1 Na 0.000 0.000 0.000
Na2 Na 0.484 0.484 0.484
Er1 Er 0.680 0.680 0.680
Tl1 Tl 0.200 0.200 0.200
Cl1 Cl 0.059 0.433 0.755
Cl2 Cl 0.291 0.849 0.643
Cl3 Cl 0.433 0.755 0.059
Cl4 Cl 0.643 0.291 0.849
Cl5 Cl 0.755 0.059 0.433
Cl6 Cl 0.849 0.643 0.291
# Theoretical density (g/cm3): 3.54
# Energy (eV/atom): -3.916
# Total magnetic moment (μB/atom): 0.000